Entry from the Alexandria database: crystalline TbPr2In4 at its relaxed geometry (GGA-PBE).

Computed properties:
formation enthalpy at 0 K: -0.324 eV per atom
relative energy among the computed polymorphs: 0 meV/atom
total DFT energy (no corrections): -3.916 eV per atom
DOS at the Fermi energy: 5.587 states/eV/f.u.
V: 214 Å³ per cell

abc: 5.3345 5.3345 8.4219
angles: 108.46 108.46 90.00
Last column: nearest neighbours and their distance in Å.
Atoms (fractional coordinates):
Pr 0.7479 0.7479 0.4958  8 In 3.39-3.43, 4 Pr 3.77
Pr 0.2521 0.2521 0.5042  8 In 3.39-3.43, 4 Pr 3.77
Tb 0.0000 0.0000 0.0000  8 In 3.13
In 0.3907 0.8907 0.7815  2 Tb 3.13, 1 In 3.29, 4 Pr 3.39-3.43
In 0.8907 0.3907 0.7815  2 Tb 3.13, 1 In 3.29, 4 Pr 3.39-3.43
In 0.6093 0.1093 0.2185  2 Tb 3.13, 1 In 3.29, 4 Pr 3.39-3.43
In 0.1093 0.6093 0.2185  2 Tb 3.13, 1 In 3.29, 4 Pr 3.39-3.43


Entry from the Alexandria database: crystalline Tb8Pr2In at its relaxed geometry (GGA-PBE).

Computed properties:
formation enthalpy at 0 K: -0.048 eV per atom
relative energy among the computed polymorphs: 12 meV/atom
total DFT energy (no corrections): -4.533 eV per atom
DOS at the Fermi energy: 15.064 states/eV/f.u.
V: 347 Å³ per cell

abc: 6.1540 6.1495 9.3678
angles: 96.44 90.20 99.69
Last column: nearest neighbours and their distance in Å.
Atoms (fractional coordinates):
Tb 0.4060 0.4547 0.8279  8 Tb 3.38-3.60, 2 In 3.51, 2 Pr 3.56-3.70
Tb 0.6789 0.0863 0.3535  1 In 3.44, 7 Tb 3.48-3.66, 4 Pr 3.56-3.62
Tb 0.8573 0.1911 0.7314  8 Tb 3.48-3.66, 1 In 3.52, 3 Pr 3.52-3.64
Tb 0.9602 0.7364 0.9117  9 Tb 3.43-3.60, 2 In 3.50-3.55, 1 Pr 3.62
Tb 0.1427 0.8089 0.2686  8 Tb 3.48-3.66, 1 In 3.52, 3 Pr 3.52-3.64
Tb 0.3211 0.9137 0.6465  1 In 3.44, 7 Tb 3.48-3.66, 4 Pr 3.56-3.62
Tb 0.5940 0.5453 0.1721  8 Tb 3.38-3.60, 2 In 3.51, 2 Pr 3.56-3.70
Tb 0.0398 0.2636 0.0883  9 Tb 3.43-3.60, 2 In 3.50-3.55, 1 Pr 3.62
Pr 0.7778 0.6359 0.5383  2 Pr 3.47-3.58, 10 Tb 3.52-3.70
Pr 0.2222 0.3641 0.4617  2 Pr 3.47-3.58, 10 Tb 3.52-3.70
In 0.5000 0.0000 0.0000  12 Tb 3.44-3.55


Entry from the Alexandria database: crystalline Tb2Pr5In4 at its relaxed geometry (GGA-PBE).

Computed properties:
formation enthalpy at 0 K: -0.298 eV per atom
relative energy among the computed polymorphs: 0 meV/atom
total DFT energy (no corrections): -4.308 eV per atom
DOS at the Fermi energy: 12.795 states/eV/f.u.
V: 332 Å³ per cell

abc: 3.4790 8.8594 10.8197
angles: 84.60 90.00 90.00
Last column: nearest neighbours and their distance in Å.
Atoms (fractional coordinates):
Tb 0.0000 0.9186 0.6372  3 Tb 3.18-3.48, 6 In 3.20-3.36, 2 Pr 3.34
Tb 0.0000 0.0814 0.3628  3 Tb 3.18-3.48, 6 In 3.20-3.36, 2 Pr 3.34
Pr 0.0000 0.4603 0.3355  1 Tb 3.34, 4 In 3.37-3.55, 4 Pr 3.48-3.69
Pr 0.0000 0.8435 0.1405  1 Tb 3.34, 6 In 3.42-3.60, 3 Pr 3.48-3.53
Pr 0.0000 0.5000 0.0000  4 In 3.35, 6 Pr 3.48-3.61
Pr 0.0000 0.1565 0.8595  1 Tb 3.34, 6 In 3.42-3.60, 3 Pr 3.48-3.53
Pr 0.0000 0.5397 0.6645  1 Tb 3.34, 4 In 3.37-3.55, 4 Pr 3.48-3.69
In 0.5000 0.2415 0.5765  4 Tb 3.32-3.36, 6 Pr 3.37-3.55, 2 In 3.48
In 0.5000 0.7991 0.8742  2 Tb 3.20, 4 Pr 3.35-3.42, 2 In 3.48
In 0.5000 0.7585 0.4235  4 Tb 3.32-3.36, 6 Pr 3.37-3.55, 2 In 3.48
In 0.5000 0.2009 0.1258  2 Tb 3.20, 4 Pr 3.35-3.42, 2 In 3.48


Entry from the Alexandria database: crystalline Tb2PrIn at its relaxed geometry (GGA-PBE).

Computed properties:
formation enthalpy at 0 K: 0.039 eV per atom
relative energy among the computed polymorphs: 304 meV/atom
total DFT energy (no corrections): -4.156 eV per atom
DOS at the Fermi energy: 6.791 states/eV/f.u.
V: 128 Å³ per cell

abc: 3.5194 3.5194 12.1311
angles: 81.66 81.66 60.00
Last column: nearest neighbours and their distance in Å.
Atoms (fractional coordinates):
Pr 0.0000 0.0000 0.0000  2 Tb 3.46, 6 Pr 3.52
Tb 0.0966 0.0966 0.7103  3 In 3.23, 1 Pr 3.46, 6 Tb 3.52
Tb 0.9034 0.9034 0.2897  3 In 3.23, 1 Pr 3.46, 6 Tb 3.52
In 0.5000 0.5000 0.5000  6 Tb 3.23, 6 In 3.52


Entry from the Alexandria database: crystalline Tb3Pr2In2 at its relaxed geometry (GGA-PBE).

Computed properties:
formation enthalpy at 0 K: -0.266 eV per atom
relative energy among the computed polymorphs: 5 meV/atom
total DFT energy (no corrections): -4.398 eV per atom
DOS at the Fermi energy: 6.075 states/eV/f.u.
V: 214 Å³ per cell

abc: 5.4982 5.4944 8.7833
angles: 108.22 90.00 120.02
Last column: nearest neighbours and their distance in Å.
Atoms (fractional coordinates):
Tb 0.5000 0.0000 0.0000  6 In 3.41, 2 Tb 3.75
Tb 0.6527 0.3053 0.4578  1 In 3.19, 3 Tb 3.25, 3 Pr 3.54
Tb 0.3473 0.6947 0.5422  1 In 3.19, 3 Tb 3.25, 3 Pr 3.54
Pr 0.9217 0.8434 0.2650  4 In 3.30-3.43, 3 Tb 3.54
Pr 0.0783 0.1566 0.7350  4 In 3.30-3.43, 3 Tb 3.54
In 0.7822 0.5644 0.8468  4 Tb 3.19-3.41, 4 Pr 3.30-3.43
In 0.2178 0.4356 0.1532  4 Tb 3.19-3.41, 4 Pr 3.30-3.43


Entry from the Alexandria database: crystalline Tb8PrIn2 at its relaxed geometry (GGA-PBE).

Computed properties:
formation enthalpy at 0 K: -0.055 eV per atom
total DFT energy (no corrections): -4.354 eV per atom
DOS at the Fermi energy: 13.805 states/eV/f.u.
V: 347 Å³ per cell

abc: 6.5223 8.6570 8.6570
angles: 45.96 98.73 98.73
Last column: nearest neighbours and their distance in Å.
Atoms (fractional coordinates):
Tb 0.4151 0.3590 0.8372  2 In 3.13-3.23, 3 Tb 3.23-3.49, 1 Pr 3.39
Tb 0.5849 0.1628 0.6410  2 In 3.13-3.23, 3 Tb 3.23-3.49, 1 Pr 3.39
Tb 0.1819 0.7846 0.7846  2 In 3.16-3.43, 3 Tb 3.39-3.45
Tb 0.8181 0.2154 0.2154  2 In 3.16-3.43, 3 Tb 3.39-3.45
Tb 0.4151 0.8372 0.3590  2 In 3.13-3.23, 3 Tb 3.23-3.49, 1 Pr 3.39
Tb 0.5849 0.6410 0.1628  2 In 3.13-3.23, 3 Tb 3.23-3.49, 1 Pr 3.39
Tb 0.8995 0.5857 0.5857  1 In 3.19, 2 Tb 3.22-3.39
Tb 0.1005 0.4143 0.4143  1 In 3.19, 2 Tb 3.22-3.39
Pr 0.0000 0.0000 0.0000  8 Tb 3.39-3.74
In 0.6901 0.7527 0.7527  7 Tb 3.13-3.43
In 0.3099 0.2473 0.2473  7 Tb 3.13-3.43


Entry from the Alexandria database: crystalline TbPr4In at its relaxed geometry (GGA-PBE).

Computed properties:
formation enthalpy at 0 K: -0.138 eV per atom
relative energy among the computed polymorphs: 0 meV/atom
total DFT energy (no corrections): -4.553 eV per atom
DOS at the Fermi energy: 7.726 states/eV/f.u.
V: 201 Å³ per cell

abc: 3.6795 3.6795 14.8436
angles: 90.00 90.00 90.00
Last column: nearest neighbours and their distance in Å.
Atoms (fractional coordinates):
Tb 0.0000 0.0000 0.0000  8 Pr 3.65, 4 Tb 3.68
Pr 0.5000 0.5000 0.1725  4 Tb 3.65, 8 Pr 3.68-3.74
Pr 0.0000 0.0000 0.6464  4 In 3.39, 8 Pr 3.68-3.74
Pr 0.0000 0.0000 0.3536  4 In 3.39, 8 Pr 3.68-3.74
Pr 0.5000 0.5000 0.8275  4 Tb 3.65, 8 Pr 3.68-3.74
In 0.5000 0.5000 0.5000  8 Pr 3.39, 4 In 3.68


Entry from the Alexandria database: crystalline Tb2PrIn at its relaxed geometry (GGA-PBE).

Computed properties:
formation enthalpy at 0 K: -0.133 eV per atom
relative energy among the computed polymorphs: 132 meV/atom
total DFT energy (no corrections): -4.328 eV per atom
DOS at the Fermi energy: 5.759 states/eV/f.u.
V: 127 Å³ per cell

abc: 3.6604 3.6604 11.1231
angles: 80.53 80.53 60.00
Last column: nearest neighbours and their distance in Å.
Atoms (fractional coordinates):
Tb 0.0757 0.0757 0.7728  3 In 3.26, 3 Pr 3.65
Tb 0.2579 0.2579 0.2264  3 In 3.25
Pr 0.4999 0.4999 0.5002  6 Tb 3.65-3.66, 6 Pr 3.66
In 0.6665 0.6665 0.0005  6 Tb 3.25-3.26


Entry from the Alexandria database: crystalline Tb2Pr6In at its relaxed geometry (GGA-PBE).

Computed properties:
formation enthalpy at 0 K: -0.048 eV per atom
relative energy among the computed polymorphs: 17 meV/atom
total DFT energy (no corrections): -4.567 eV per atom
DOS at the Fermi energy: 11.195 states/eV/f.u.
V: 605 Å³ per cell

abc: 6.4357 11.5523 11.5523
angles: 47.73 106.21 106.21
Last column: nearest neighbours and their distance in Å.
Atoms (fractional coordinates):
Tb 0.5793 0.8269 0.6727  3 Tb 3.39-3.53, 6 Pr 3.51-3.66
Tb 0.9207 0.3273 0.1731  3 Tb 3.39-3.53, 6 Pr 3.51-3.66
Tb 0.4207 0.1731 0.3273  3 Tb 3.39-3.53, 6 Pr 3.51-3.66
Tb 0.0793 0.6727 0.8269  3 Tb 3.39-3.53, 6 Pr 3.51-3.66
Pr 0.7176 0.5070 0.6503  2 In 3.40-3.48, 6 Pr 3.47-3.62, 1 Tb 3.66
Pr 0.7824 0.3497 0.4930  2 In 3.40-3.48, 6 Pr 3.47-3.62, 1 Tb 3.66
Pr 0.2824 0.4930 0.3497  2 In 3.40-3.48, 6 Pr 3.47-3.62, 1 Tb 3.66
Pr 0.2176 0.6503 0.5070  2 In 3.40-3.48, 6 Pr 3.47-3.62, 1 Tb 3.66
Pr 0.9182 0.9186 0.4181  5 Pr 3.29-3.58, 1 In 3.39, 4 Tb 3.51-3.56
Pr 0.5818 0.5819 0.0814  5 Pr 3.29-3.58, 1 In 3.39, 4 Tb 3.51-3.56
Pr 0.0818 0.0814 0.5819  5 Pr 3.29-3.58, 1 In 3.39, 4 Tb 3.51-3.56
Pr 0.4182 0.4181 0.9186  5 Pr 3.29-3.58, 1 In 3.39, 4 Tb 3.51-3.56
Pr 0.0613 0.8491 0.9934  2 In 3.40-3.47, 6 Pr 3.47-3.62, 1 Tb 3.66
Pr 0.4387 0.0066 0.1509  2 In 3.40-3.47, 6 Pr 3.47-3.62, 1 Tb 3.66
Pr 0.9387 0.1509 0.0066  2 In 3.40-3.47, 6 Pr 3.47-3.62, 1 Tb 3.66
Pr 0.5613 0.9934 0.8491  2 In 3.40-3.47, 6 Pr 3.47-3.62, 1 Tb 3.66
In 0.2500 0.2494 0.7506  10 Pr 3.39-3.48
In 0.7500 0.7506 0.2494  10 Pr 3.39-3.48


Entry from the Alexandria database: crystalline TbPr5In4 at its relaxed geometry (GGA-PBE).

Computed properties:
formation enthalpy at 0 K: -0.121 eV per atom
relative energy among the computed polymorphs: 251 meV/atom
total DFT energy (no corrections): -4.069 eV per atom
DOS at the Fermi energy: 10.090 states/eV/f.u.
V: 690 Å³ per cell

abc: 8.8359 8.4619 9.2301
angles: 90.00 90.00 90.00
Last column: nearest neighbours and their distance in Å.
Atoms (fractional coordinates):
Tb 0.9154 0.0000 0.0000  4 In 3.24-3.40
Tb 0.0846 0.5000 0.5000  4 In 3.24-3.40
Pr 0.2658 0.7528 0.8052  4 In 3.26-3.35, 2 Pr 3.58-3.60
Pr 0.2658 0.2472 0.8052  4 In 3.26-3.35, 2 Pr 3.58-3.60
Pr 0.6545 0.5000 0.0000  4 In 2.99-3.31
Pr 0.2658 0.7528 0.1948  4 In 3.26-3.35, 2 Pr 3.58-3.60
Pr 0.2658 0.2472 0.1948  4 In 3.26-3.35, 2 Pr 3.58-3.60
Pr 0.7342 0.7472 0.3052  4 In 3.26-3.35, 2 Pr 3.58-3.60
Pr 0.7342 0.2528 0.3052  4 In 3.26-3.35, 2 Pr 3.58-3.60
Pr 0.3455 0.0000 0.5000  4 In 2.99-3.31
Pr 0.7342 0.2528 0.6948  4 In 3.26-3.35, 2 Pr 3.58-3.60
Pr 0.7342 0.7472 0.6948  4 In 3.26-3.35, 2 Pr 3.58-3.60
In 0.0109 0.0000 0.6609  1 In 2.97, 1 Tb 3.24, 3 Pr 3.26-3.31
In 0.5628 0.8398 0.0000  1 In 2.71, 1 Pr 2.99
In 0.5628 0.1602 0.0000  1 In 2.71, 1 Pr 2.99
In 0.0109 0.0000 0.3391  1 In 2.97, 1 Tb 3.24, 3 Pr 3.26-3.31
In 0.9891 0.5000 0.1609  1 In 2.97, 1 Tb 3.24, 3 Pr 3.26-3.31
In 0.4372 0.6602 0.5000  1 In 2.71, 1 Pr 2.99
In 0.4372 0.3398 0.5000  1 In 2.71, 1 Pr 2.99
In 0.9891 0.5000 0.8391  1 In 2.97, 1 Tb 3.24, 3 Pr 3.26-3.31